1.
# MgIr2Se

A relaxed MgIr2Se crystal (GGA-PBEsol, the Alexandria database).

The structure in CIF format:
```
data_MgIr2Se
_cell_length_a 2.863
_cell_length_b 4.603
_cell_length_c 9.408
_cell_angle_alpha 90.00
_cell_angle_beta 90.00
_cell_angle_gamma 90.00
_space_group_name_H-M_alt 'I m m m'
_space_group_IT_number 71
_space_group_name_Hall '-I 2 2'
loop_
_atom_site_label
_atom_site_type_symbol
_atom_site_fract_x
_atom_site_fract_y
_atom_site_fract_z
Mg1 Mg 0.000 0.000 0.000
Ir1 Ir 0.000 0.500 0.233
Se1 Se 0.000 0.000 0.500
```

Output
Fermi-level density of states, states/eV/atom: 0.63
Formation energy (no corrections), eV/atom: 0.056
Total energy, eV/f.u.: -25.0

2.
# Mg2IrSe

A relaxed Mg2IrSe crystal (GGA-PBEsol, the Alexandria database).

The structure in CIF format:
```
data_Mg2IrSe
_cell_length_a 3.300
_cell_length_b 4.420
_cell_length_c 4.525
_cell_angle_alpha 90.00
_cell_angle_beta 90.00
_cell_angle_gamma 90.00
_space_group_name_H-M_alt 'P m m 2'
_space_group_IT_number 25
loop_
_space_group_symop_operation_xyz
'x,y,z'
'-x,-y,z'
'-x,y,z'
'x,-y,z'
loop_
_atom_site_label
_atom_site_type_symbol
_atom_site_fract_x
_atom_site_fract_y
_atom_site_fract_z
Mg1 Mg 0.000 0.000 0.000
Mg2 Mg 0.000 0.500 0.418
Ir1 Ir 0.500 0.000 0.511
Se1 Se 0.500 0.500 0.890
```

Output
Fermi-level density of states, states/eV/atom: 0.45
Formation energy (no corrections), eV/atom: -0.369
Total energy, eV/f.u.: -18.6

3.
# MgIrSe

A relaxed MgIrSe crystal (GGA-PBEsol, the Alexandria database).

The structure in CIF format:
```
data_MgIrSe
_cell_length_a 6.020
_cell_length_b 6.020
_cell_length_c 6.020
_cell_angle_alpha 90.00
_cell_angle_beta 90.00
_cell_angle_gamma 90.00
_space_group_name_H-M_alt 'F -4 3 m'
_space_group_IT_number 216
_space_group_name_Hall 'F -4 2 3'
loop_
_atom_site_label
_atom_site_type_symbol
_atom_site_fract_x
_atom_site_fract_y
_atom_site_fract_z
Mg1 Mg 0.000 0.000 0.000
Ir1 Ir 0.250 0.250 0.750
Se1 Se 0.000 0.000 0.500
```

Output
Polymorph energy (0 for the lowest one), eV/atom: 0.0000
Fermi-level density of states, states/eV/atom: 0.80
Formation energy (no corrections), eV/atom: -0.130
Total energy, eV/f.u.: -15.8

4.
# Mg2IrSe

A relaxed Mg2IrSe crystal (GGA-PBEsol, the Alexandria database).

The structure in CIF format:
```
data_Mg2IrSe
_cell_length_a 5.755
_cell_length_b 7.065
_cell_length_c 3.243
_cell_angle_alpha 90.00
_cell_angle_beta 90.00
_cell_angle_gamma 90.00
_space_group_name_H-M_alt 'C m m m'
_space_group_IT_number 65
_space_group_name_Hall '-C 2 2'
loop_
_atom_site_label
_atom_site_type_symbol
_atom_site_fract_x
_atom_site_fract_y
_atom_site_fract_z
Mg1 Mg 0.250 0.250 0.000
Ir1 Ir 0.000 0.000 0.500
Se1 Se 0.000 0.500 0.500
```

Output
Fermi-level density of states, states/eV/atom: 0.30
Formation energy (no corrections), eV/atom: -0.360
Total energy, eV/f.u.: -18.5

5.
# Mg2IrSe

A relaxed Mg2IrSe crystal (GGA-PBEsol, the Alexandria database).

The structure in CIF format:
```
data_Mg2IrSe
_cell_length_a 10.333
_cell_length_b 2.990
_cell_length_c 4.701
_cell_angle_alpha 90.00
_cell_angle_beta 105.52
_cell_angle_gamma 90.00
_space_group_name_H-M_alt 'C 1 m 1'
_space_group_IT_number 8
loop_
_space_group_symop_operation_xyz
'x,y,z'
'x,-y,z'
'x+1/2,y+1/2,z'
'x+1/2,-y+1/2,z'
loop_
_atom_site_label
_atom_site_type_symbol
_atom_site_fract_x
_atom_site_fract_y
_atom_site_fract_z
Mg1 Mg 0.000 0.000 0.000
Mg2 Mg 0.197 0.000 0.634
Ir1 Ir 0.461 0.000 0.497
Se1 Se 0.276 0.500 0.195
```

Output
Fermi-level density of states, states/eV/atom: 0.47
Formation energy (no corrections), eV/atom: -0.363
Total energy, eV/f.u.: -18.6

6.
# Mg2IrSe

A relaxed Mg2IrSe crystal (GGA-PBEsol, the Alexandria database).

The structure in CIF format:
```
data_Mg2IrSe
_cell_length_a 6.265
_cell_length_b 6.273
_cell_length_c 3.353
_cell_angle_alpha 90.00
_cell_angle_beta 90.00
_cell_angle_gamma 90.00
_space_group_name_H-M_alt 'C m m m'
_space_group_IT_number 65
_space_group_name_Hall '-C 2 2'
loop_
_atom_site_label
_atom_site_type_symbol
_atom_site_fract_x
_atom_site_fract_y
_atom_site_fract_z
Mg1 Mg 0.250 0.250 0.000
Ir1 Ir 0.000 0.000 0.500
Se1 Se 0.000 0.500 0.500
```

Output
Fermi-level density of states, states/eV/atom: 0.27
Formation energy (no corrections), eV/atom: -0.361
Total energy, eV/f.u.: -18.6

7.
# Mg2Si2Ir

A relaxed Mg2Si2Ir crystal (GGA-PBEsol, the Alexandria database).

The structure in CIF format:
```
data_Mg2Si2Ir
_cell_length_a 6.204
_cell_length_b 6.204
_cell_length_c 4.159
_cell_angle_alpha 90.00
_cell_angle_beta 90.00
_cell_angle_gamma 90.00
_space_group_name_H-M_alt 'P 4/m b m'
_space_group_IT_number 127
_space_group_name_Hall '-P 4 2ab'
loop_
_atom_site_label
_atom_site_type_symbol
_atom_site_fract_x
_atom_site_fract_y
_atom_site_fract_z
Mg1 Mg 0.178 0.322 0.000
Si1 Si 0.134 0.634 0.500
Ir1 Ir 0.000 0.000 0.500
```

Output
Fermi-level density of states, states/eV/atom: 0.15
Formation energy (no corrections), eV/atom: -0.491
Total energy, eV/f.u.: -27.2

8.
# Mg15Si2Ir5

A relaxed Mg15Si2Ir5 crystal (GGA-PBEsol, the Alexandria database).

The structure in CIF format:
```
data_Mg15Si2Ir5
_cell_length_a 13.659
_cell_length_b 13.659
_cell_length_c 8.730
_cell_angle_alpha 90.00
_cell_angle_beta 90.00
_cell_angle_gamma 90.00
_space_group_name_H-M_alt 'P 42/n'
_space_group_IT_number 86
loop_
_space_group_symop_operation_xyz
'x,y,z'
'-x,-y,-z'
'-y,x+1/2,z+1/2'
'y,-x+1/2,-z+1/2'
'-x+1/2,-y+1/2,z'
'x+1/2,y+1/2,-z'
'y+1/2,-x,z+1/2'
'-y+1/2,x,-z+1/2'
loop_
_atom_site_label
_atom_site_type_symbol
_atom_site_fract_x
_atom_site_fract_y
_atom_site_fract_z
Mg1 Mg 0.000 0.000 0.000
Mg2 Mg 0.005 0.983 0.342
Mg3 Mg 0.047 0.803 0.861
Mg4 Mg 0.090 0.306 0.645
Mg5 Mg 0.118 0.677 0.116
Mg6 Mg 0.119 0.311 0.976
Mg7 Mg 0.120 0.678 0.612
Mg8 Mg 0.121 0.337 0.316
Si1 Si 0.084 0.798 0.365
Ir1 Ir 0.015 0.170 0.849
Ir2 Ir 0.018 0.174 0.424
Ir3 Ir 0.250 0.750 0.364
```

Output
Fermi-level density of states, states/eV/atom: 0.32
Formation energy (no corrections), eV/atom: -0.390
Total energy, eV/f.u.: -95.0

9.
# Mg3Si8Ir3

A relaxed Mg3Si8Ir3 crystal (GGA-PBEsol, the Alexandria database).

The structure in CIF format:
```
data_Mg3Si8Ir3
_cell_length_a 12.179
_cell_length_b 12.179
_cell_length_c 12.179
_cell_angle_alpha 90.00
_cell_angle_beta 90.00
_cell_angle_gamma 90.00
_space_group_name_H-M_alt 'F -4 3 m'
_space_group_IT_number 216
_space_group_name_Hall 'F -4 2 3'
loop_
_atom_site_label
_atom_site_type_symbol
_atom_site_fract_x
_atom_site_fract_y
_atom_site_fract_z
Mg1 Mg 0.000 0.000 0.000
Mg2 Mg 0.100 0.100 0.600
Mg3 Mg 0.250 0.250 0.250
Si1 Si 0.070 0.070 0.221
Si2 Si 0.176 0.176 0.824
Ir1 Ir 0.005 0.250 0.750
```

Output
Fermi-level density of states, states/eV/atom: 0.43
Formation energy (no corrections), eV/atom: -0.517
Total energy, eV/f.u.: -87.8

10.
# Mg2SiIr

A relaxed Mg2SiIr crystal (GGA-PBEsol, the Alexandria database).

The structure in CIF format:
```
data_Mg2SiIr
_cell_length_a 2.883
_cell_length_b 2.883
_cell_length_c 7.755
_cell_angle_alpha 90.00
_cell_angle_beta 90.00
_cell_angle_gamma 90.00
_space_group_name_H-M_alt 'P 4/m m m'
_space_group_IT_number 123
_space_group_name_Hall '-P 4 2'
loop_
_atom_site_label
_atom_site_type_symbol
_atom_site_fract_x
_atom_site_fract_y
_atom_site_fract_z
Mg1 Mg 0.000 0.000 0.227
Si1 Si 0.500 0.500 0.500
Ir1 Ir 0.500 0.500 0.000
```

Output
Fermi-level density of states, states/eV/atom: 0.52
Formation energy (no corrections), eV/atom: -0.108
Total energy, eV/f.u.: -19.4

11.
# Sm4MgIr

A relaxed Sm4MgIr crystal (GGA-PBEsol, the Alexandria database).

The structure in CIF format:
```
data_Sm4MgIr
_cell_length_a 13.787
_cell_length_b 13.787
_cell_length_c 13.787
_cell_angle_alpha 90.00
_cell_angle_beta 90.00
_cell_angle_gamma 90.00
_space_group_name_H-M_alt 'F -4 3 m'
_space_group_IT_number 216
_space_group_name_Hall 'F -4 2 3'
loop_
_atom_site_label
_atom_site_type_symbol
_atom_site_fract_x
_atom_site_fract_y
_atom_site_fract_z
Sm1 Sm 0.000 0.000 0.188
Sm2 Sm 0.062 0.250 0.250
Sm3 Sm 0.153 0.153 0.653
Mg1 Mg 0.080 0.080 0.420
Ir1 Ir 0.142 0.142 0.858
```

Output
ΔE_f, kJ per mole of atoms: -35.11
Fermi-level density of states, states/eV/atom: 0.84
Total energy, eV/f.u.: -34.1

12.
# MgSn2IrW

A relaxed MgSn2IrW crystal (GGA-PBEsol, the Alexandria database).

The structure in CIF format:
```
data_MgSn2IrW
_cell_length_a 5.035
_cell_length_b 5.035
_cell_length_c 4.933
_cell_angle_alpha 90.00
_cell_angle_beta 90.00
_cell_angle_gamma 90.00
_space_group_name_H-M_alt 'P 4/m m m'
_space_group_IT_number 123
_space_group_name_Hall '-P 4 2'
loop_
_atom_site_label
_atom_site_type_symbol
_atom_site_fract_x
_atom_site_fract_y
_atom_site_fract_z
Mg1 Mg 0.000 0.000 0.000
Sn1 Sn 0.000 0.500 0.500
Ir1 Ir 0.500 0.500 0.500
W1 W 0.500 0.500 0.000
```

Output
ΔE_f, kJ per mole of atoms: 93.75
Fermi-level density of states, states/eV/atom: 0.82
Total energy, eV/f.u.: -29.0

13.
# Sr2MgIr

A relaxed Sr2MgIr crystal (GGA-PBEsol, the Alexandria database).

The structure in CIF format:
```
data_Sr2MgIr
_cell_length_a 7.416
_cell_length_b 4.178
_cell_length_c 9.079
_cell_angle_alpha 90.00
_cell_angle_beta 104.67
_cell_angle_gamma 90.00
_space_group_name_H-M_alt 'C 1 2/m 1'
_space_group_IT_number 12
loop_
_space_group_symop_operation_xyz
'x,y,z'
'-x,-y,-z'
'-x,y,-z'
'x,-y,z'
'x+1/2,y+1/2,z'
'-x+1/2,-y+1/2,-z'
'-x+1/2,y+1/2,-z'
'x+1/2,-y+1/2,z'
loop_
_atom_site_label
_atom_site_type_symbol
_atom_site_fract_x
_atom_site_fract_y
_atom_site_fract_z
Sr1 Sr 0.226 0.000 0.178
Mg1 Mg 0.000 0.000 0.500
Ir1 Ir 0.000 0.500 0.000
```

Output
ΔE_f, kJ per mole of atoms: 20.67
Fermi-level density of states, states/eV/atom: 0.57
Total energy, eV/f.u.: -14.4

14.
# SrMg3Ir

A relaxed SrMg3Ir crystal (GGA-PBEsol, the Alexandria database).

The structure in CIF format:
```
data_SrMg3Ir
_cell_length_a 5.044
_cell_length_b 5.044
_cell_length_c 5.044
_cell_angle_alpha 90.00
_cell_angle_beta 90.00
_cell_angle_gamma 90.00
_space_group_name_H-M_alt 'P m -3 m'
_space_group_IT_number 221
_space_group_name_Hall '-P 4 2 3'
loop_
_atom_site_label
_atom_site_type_symbol
_atom_site_fract_x
_atom_site_fract_y
_atom_site_fract_z
Sr1 Sr 0.000 0.000 0.000
Mg1 Mg 0.000 0.500 0.500
Ir1 Ir 0.500 0.500 0.500
```

Output
Polymorph energy (0 for the lowest one), eV/atom: 0.0000
ΔE_f, kJ per mole of atoms: -15.87
Fermi-level density of states, states/eV/atom: 0.39
Total energy, eV/f.u.: -17.6

15.
# Sr2MgIr

A relaxed Sr2MgIr crystal (GGA-PBEsol, the Alexandria database).

The structure in CIF format:
```
data_Sr2MgIr
_cell_length_a 3.511
_cell_length_b 3.694
_cell_length_c 8.749
_cell_angle_alpha 90.00
_cell_angle_beta 90.00
_cell_angle_gamma 90.00
_space_group_name_H-M_alt 'P m m m'
_space_group_IT_number 47
loop_
_space_group_symop_operation_xyz
'x,y,z'
'-x,-y,-z'
'-x,-y,z'
'x,y,-z'
'x,-y,-z'
'-x,y,z'
'-x,y,-z'
'x,-y,z'
loop_
_atom_site_label
_atom_site_type_symbol
_atom_site_fract_x
_atom_site_fract_y
_atom_site_fract_z
Sr1 Sr 0.000 0.000 0.194
Mg1 Mg 0.500 0.500 0.500
Ir1 Ir 0.500 0.500 0.000
```

Output
ΔE_f, kJ per mole of atoms: 2.97
Fermi-level density of states, states/eV/atom: 0.72
Total energy, eV/f.u.: -15.1

16.
# SrMg3Ir

A relaxed SrMg3Ir crystal (GGA-PBEsol, the Alexandria database).

The structure in CIF format:
```
data_SrMg3Ir
_cell_length_a 5.648
_cell_length_b 5.648
_cell_length_c 5.648
_cell_angle_alpha 90.00
_cell_angle_beta 90.00
_cell_angle_gamma 90.00
_space_group_name_H-M_alt 'P m -3 m'
_space_group_IT_number 221
_space_group_name_Hall '-P 4 2 3'
loop_
_atom_site_label
_atom_site_type_symbol
_atom_site_fract_x
_atom_site_fract_y
_atom_site_fract_z
Sr1 Sr 0.000 0.000 0.000
Mg1 Mg 0.000 0.000 0.500
Ir1 Ir 0.500 0.500 0.500
```

Output
Polymorph energy (0 for the lowest one), eV/atom: 2.2934
ΔE_f, kJ per mole of atoms: 205.40
Fermi-level density of states, states/eV/atom: 1.67
Total energy, eV/f.u.: -6.2

17.
# Mg2TaIr

A relaxed Mg2TaIr crystal (GGA-PBEsol, the Alexandria database).

The structure in CIF format:
```
data_Mg2TaIr
_cell_length_a 5.284
_cell_length_b 9.062
_cell_length_c 2.804
_cell_angle_alpha 90.00
_cell_angle_beta 90.00
_cell_angle_gamma 90.00
_space_group_name_H-M_alt 'C m m m'
_space_group_IT_number 65
_space_group_name_Hall '-C 2 2'
loop_
_atom_site_label
_atom_site_type_symbol
_atom_site_fract_x
_atom_site_fract_y
_atom_site_fract_z
Mg1 Mg 0.250 0.250 0.000
Ta1 Ta 0.000 0.000 0.500
Ir1 Ir 0.000 0.500 0.500
```

Output
Polymorph energy (0 for the lowest one), eV/atom: 0.1530
ΔE_f, kJ per mole of atoms: 8.35
Fermi-level density of states, states/eV/atom: 0.62
Total energy, eV/f.u.: -25.5

18.
# Mg4TaIr

A relaxed Mg4TaIr crystal (GGA-PBEsol, the Alexandria database).

The structure in CIF format:
```
data_Mg4TaIr
_cell_length_a 7.466
_cell_length_b 7.466
_cell_length_c 7.466
_cell_angle_alpha 90.00
_cell_angle_beta 90.00
_cell_angle_gamma 90.00
_space_group_name_H-M_alt 'F -4 3 m'
_space_group_IT_number 216
_space_group_name_Hall 'F -4 2 3'
loop_
_atom_site_label
_atom_site_type_symbol
_atom_site_fract_x
_atom_site_fract_y
_atom_site_fract_z
Mg1 Mg 0.125 0.125 0.125
Ta1 Ta 0.250 0.250 0.750
Ir1 Ir 0.000 0.000 0.500
```

Output
ΔE_f, kJ per mole of atoms: 51.20
Fermi-level density of states, states/eV/atom: 0.52
Total energy, eV/f.u.: -26.1

19.
# Mg2TaIr

A relaxed Mg2TaIr crystal (GGA-PBEsol, the Alexandria database).

The structure in CIF format:
```
data_Mg2TaIr
_cell_length_a 6.380
_cell_length_b 6.380
_cell_length_c 6.380
_cell_angle_alpha 90.00
_cell_angle_beta 90.00
_cell_angle_gamma 90.00
_space_group_name_H-M_alt 'F m -3 m'
_space_group_IT_number 225
_space_group_name_Hall '-F 4 2 3'
loop_
_atom_site_label
_atom_site_type_symbol
_atom_site_fract_x
_atom_site_fract_y
_atom_site_fract_z
Mg1 Mg 0.250 0.250 0.250
Ta1 Ta 0.000 0.000 0.000
Ir1 Ir 0.000 0.000 0.500
```

Output
Polymorph energy (0 for the lowest one), eV/atom: 0.4186
ΔE_f, kJ per mole of atoms: 33.98
Fermi-level density of states, states/eV/atom: 0.83
Total energy, eV/f.u.: -24.4

20.
# Mg2TaIr

A relaxed Mg2TaIr crystal (GGA-PBEsol, the Alexandria database).

The structure in CIF format:
```
data_Mg2TaIr
_cell_length_a 7.547
_cell_length_b 7.547
_cell_length_c 5.192
_cell_angle_alpha 90.00
_cell_angle_beta 90.00
_cell_angle_gamma 90.00
_space_group_name_H-M_alt 'I -4 2 d'
_space_group_IT_number 122
_space_group_name_Hall 'I -4 2bw'
loop_
_atom_site_label
_atom_site_type_symbol
_atom_site_fract_x
_atom_site_fract_y
_atom_site_fract_z
Mg1 Mg 0.209 0.750 0.125
Ta1 Ta 0.000 0.000 0.500
Ir1 Ir 0.000 0.000 0.000
```

Output
Polymorph energy (0 for the lowest one), eV/atom: 0.6077
ΔE_f, kJ per mole of atoms: 52.23
Fermi-level density of states, states/eV/atom: 0.80
Total energy, eV/f.u.: -23.6